# 1
This record from the Alexandria database describes a relaxed LaCuGe2 crystal. The functional is PBE-GGA.

Cell and atoms, written as CIF:
```
data_LaCuGe2
_cell_length_a 6.939
_cell_length_b 6.939
_cell_length_c 6.939
_cell_angle_alpha 90.00
_cell_angle_beta 90.00
_cell_angle_gamma 90.00
_space_group_name_H-M_alt 'F m -3 m'
_space_group_IT_number 225
_space_group_name_Hall '-F 4 2 3'
loop_
_atom_site_label
_atom_site_type_symbol
_atom_site_fract_x
_atom_site_fract_y
_atom_site_fract_z
_atom_site_occupancy
La1 La 0.000 0.000 0.000 1
Cu1 Cu 0.000 0.000 0.500 1
Ge1 Ge 0.250 0.250 0.250 1
```

Computed properties:
VASP energy in eV/atom: -4.738
DFT formation energy in kJ/mol of atoms: -17


# 2
This record from the Alexandria database describes a relaxed Na3MgSb2 crystal. The functional is PBE-GGA.

Cell and atoms, written as CIF:
```
data_Na3MgSb2
_cell_length_a 6.578
_cell_length_b 16.329
_cell_length_c 6.486
_cell_angle_alpha 90.00
_cell_angle_beta 90.00
_cell_angle_gamma 90.00
_space_group_name_H-M_alt 'I b a m'
_space_group_IT_number 72
_space_group_name_Hall '-I 2 2c'
loop_
_atom_site_label
_atom_site_type_symbol
_atom_site_fract_x
_atom_site_fract_y
_atom_site_fract_z
_atom_site_occupancy
Na1 Na 0.000 0.000 0.250 1
Na2 Na 0.230 0.182 0.000 1
Mg1 Mg 0.000 0.500 0.250 1
Sb1 Sb 0.218 0.379 0.000 1
```

Computed properties:
VASP energy in eV/atom: -2.675
Energy relative to the elements, uncorrected in eV per atom: -0.38


# 3
This record from the Alexandria database describes a relaxed Ce6InSn3 crystal. The functional is PBE-GGA.

Cell and atoms, written as CIF:
```
data_Ce6InSn3
_cell_length_a 5.891
_cell_length_b 9.097
_cell_length_c 11.970
_cell_angle_alpha 90.00
_cell_angle_beta 119.47
_cell_angle_gamma 90.00
_space_group_name_H-M_alt 'P 1 21/c 1'
_space_group_IT_number 14
loop_
_space_group_symop_operation_xyz
'x,y,z'
'-x,-y,-z'
'-x,y+1/2,-z+1/2'
'x,-y+1/2,z+1/2'
loop_
_atom_site_label
_atom_site_type_symbol
_atom_site_fract_x
_atom_site_fract_y
_atom_site_fract_z
_atom_site_occupancy
Ce1 Ce 0.026 0.144 0.052 1
Ce2 Ce 0.422 0.146 0.445 1
Ce3 Ce 0.449 0.655 0.251 1
In1 In 0.000 0.000 0.500 1
Sn1 Sn 0.028 0.609 0.751 1
Sn2 Sn 0.500 0.000 0.000 1
```

Computed properties:
VASP energy in eV/atom: -5.364
DFT formation energy in kJ/mol of atoms: -32


# 4
This record from the Alexandria database describes a relaxed UAg3Te2Cl6 crystal. The functional is PBE-GGA.

Cell and atoms, written as CIF:
```
data_UAg3Te2Cl6
_cell_length_a 16.606
_cell_length_b 8.723
_cell_length_c 6.694
_cell_angle_alpha 90.00
_cell_angle_beta 111.26
_cell_angle_gamma 90.00
_space_group_name_H-M_alt 'C 1 2/m 1'
_space_group_IT_number 12
loop_
_space_group_symop_operation_xyz
'x,y,z'
'-x,-y,-z'
'-x,y,-z'
'x,-y,z'
'x+1/2,y+1/2,z'
'-x+1/2,-y+1/2,-z'
'-x+1/2,y+1/2,-z'
'x+1/2,-y+1/2,z'
loop_
_atom_site_label
_atom_site_type_symbol
_atom_site_fract_x
_atom_site_fract_y
_atom_site_fract_z
_atom_site_occupancy
U1 U 0.000 0.000 0.000 1
Ag1 Ag 0.000 0.500 0.500 1
Ag2 Ag 0.250 0.250 0.500 1
Te1 Te 0.158 0.500 0.490 1
Cl1 Cl 0.089 0.000 0.394 1
Cl2 Cl 0.097 0.205 0.946 1
```

Computed properties:
VASP energy in eV/atom: -3.870
Energy relative to the elements, uncorrected in eV per atom: -0.77


# 5
This record from the Alexandria database describes a relaxed La2GdSn crystal. The functional is PBE-GGA.

Cell and atoms, written as CIF:
```
data_La2GdSn
_cell_length_a 4.319
_cell_length_b 4.319
_cell_length_c 6.938
_cell_angle_alpha 90.00
_cell_angle_beta 90.00
_cell_angle_gamma 90.00
_space_group_name_H-M_alt 'P 4/m m m'
_space_group_IT_number 123
_space_group_name_Hall '-P 4 2'
loop_
_atom_site_label
_atom_site_type_symbol
_atom_site_fract_x
_atom_site_fract_y
_atom_site_fract_z
_atom_site_occupancy
La1 La 0.000 0.000 0.226 1
Gd1 Gd 0.500 0.500 0.500 1
Sn1 Sn 0.500 0.500 0.000 1
```

Computed properties:
VASP energy in eV/atom: -7.377
DFT formation energy in kJ/mol of atoms: -38


# 6
This record from the Alexandria database describes a relaxed SiNiAg2 crystal. The functional is PBE-GGA.

Cell and atoms, written as CIF:
```
data_SiNiAg2
_cell_length_a 5.310
_cell_length_b 8.057
_cell_length_c 2.851
_cell_angle_alpha 90.00
_cell_angle_beta 90.00
_cell_angle_gamma 90.00
_space_group_name_H-M_alt 'C m m m'
_space_group_IT_number 65
_space_group_name_Hall '-C 2 2'
loop_
_atom_site_label
_atom_site_type_symbol
_atom_site_fract_x
_atom_site_fract_y
_atom_site_fract_z
_atom_site_occupancy
Si1 Si 0.000 0.000 0.000 1
Ni1 Ni 0.000 0.500 0.000 1
Ag1 Ag 0.250 0.250 0.500 1
```

Computed properties:
VASP energy in eV/atom: -3.968
Energy relative to the elements, uncorrected in eV per atom: 0.26


Let's list Fermi-level density of states in order: 0.57; 0.67; 2.51; 0.55; 1.20; 0.56 states/eV/atom.